# PBE CsTl2NiBi, optimized geometry
data_CsTl2NiBi
_cell_length_a 5.4332
_cell_length_b 5.4332
_cell_length_c 5.4050
_cell_angle_alpha 90.00
_cell_angle_beta 90.00
_cell_angle_gamma 90.00
_space_group_name_H-M_alt 'P 1'
_space_group_IT_number 1
_space_group_name_Hall 'P 1'
loop_
_atom_site_label
_atom_site_type_symbol
_atom_site_fract_x
_atom_site_fract_y
_atom_site_fract_z
Tl1 Tl 0.0000 0.5000 0.0000
Tl2 Tl 0.5000 0.0000 0.0000
Bi1 Bi 0.0000 0.0000 0.5000
Cs1 Cs 0.5000 0.5000 0.5000
Ni1 Ni 0.0000 0.0000 0.0000
# ΔH_f (0 K), eV per atom: 0.055
# Space group: P4/mmm, No. 123
# Theoretical density, g cm⁻³: 8.4
# Magnetic moment, Bohr magnetons per cell: 0.00
# DOS(E_F), states/eV/atom: 1.181


# PBE PmErTlIn, optimized geometry
data_PmErTlIn
_cell_length_a 5.3871
_cell_length_b 5.3871
_cell_length_c 5.3871
_cell_angle_alpha 60.00
_cell_angle_beta 60.00
_cell_angle_gamma 60.00
_space_group_name_H-M_alt 'P 1'
_space_group_IT_number 1
_space_group_name_Hall 'P 1'
loop_
_atom_site_label
_atom_site_type_symbol
_atom_site_fract_x
_atom_site_fract_y
_atom_site_fract_z
In1 In 0.5000 0.5000 0.5000
Tl1 Tl 0.0000 0.0000 0.0000
Pm1 Pm 0.2500 0.2500 0.2500
Er1 Er 0.7500 0.7500 0.7500
# ΔH_f (0 K), eV per atom: -0.408
# Space group: F-43m, No. 216
# Theoretical density, g cm⁻³: 9.5
# Magnetic moment, Bohr magnetons per cell: 0.00
# DOS(E_F), states/eV/atom: 0.400


# PBE CdAgTe, optimized geometry
data_CdAgTe
_cell_length_a 5.2794
_cell_length_b 5.2794
_cell_length_c 5.2794
_cell_angle_alpha 134.28
_cell_angle_beta 134.28
_cell_angle_gamma 66.65
_space_group_name_H-M_alt 'P 1'
_space_group_IT_number 1
_space_group_name_Hall 'P 1'
loop_
_atom_site_label
_atom_site_type_symbol
_atom_site_fract_x
_atom_site_fract_y
_atom_site_fract_z
Ag1 Ag 0.0023 0.0023 0.0000
Te1 Te 0.6694 0.6694 0.0000
Cd1 Cd 0.3282 0.3282 0.0000
# Space group: I4mm, No. 107
# Theoretical density, g cm⁻³: 7.8
# Magnetic moment, Bohr magnetons per cell: 0.00
# DOS(E_F), states/eV/atom: 0.612
# Energy relative to the elements, uncorrected, eV per formula unit: 0.2
# Energy above the lowest structure with this stoichiometry, meV per atom: 133


# PBE SrMn2Nb2, optimized geometry
data_SrMn2Nb2
_cell_length_a 8.1740
_cell_length_b 8.1740
_cell_length_c 2.8634
_cell_angle_alpha 90.00
_cell_angle_beta 90.00
_cell_angle_gamma 90.00
_space_group_name_H-M_alt 'P 1'
_space_group_IT_number 1
_space_group_name_Hall 'P 1'
loop_
_atom_site_label
_atom_site_type_symbol
_atom_site_fract_x
_atom_site_fract_y
_atom_site_fract_z
Nb1 Nb 0.6376 0.1376 0.0000
Nb2 Nb 0.8624 0.6376 0.0000
Nb3 Nb 0.1376 0.3624 0.0000
Nb4 Nb 0.3624 0.8624 0.0000
Mn1 Mn 0.8528 0.3528 0.5000
Mn2 Mn 0.3528 0.1472 0.5000
Mn3 Mn 0.1472 0.6472 0.5000
Mn4 Mn 0.6472 0.8528 0.5000
Sr1 Sr 0.5000 0.5000 0.0000
Sr2 Sr 0.0000 0.0000 0.0000
# ΔH_f (0 K), eV per atom: 0.498
# Space group: P4/mbm, No. 127
# Theoretical density, g cm⁻³: 6.7
# Magnetic moment, Bohr magnetons per cell: 7.79
# DOS(E_F), states/eV/atom: 1.215
# Energy above the lowest structure with this stoichiometry, meV per atom: 0